(1)
# SCAN Sr2ZnSi3, single point on PBEsol structure
# symmetry	Fmmm
# formation energy without anion corrections	-0.474	eV per atom
data_Sr2ZnSi3
_cell_length_a 8.4722
_cell_length_b 8.2092
_cell_length_c 6.1753
_cell_angle_alpha 70.56
_cell_angle_beta 66.02
_cell_angle_gamma 43.42
_symmetry_space_group_name_H-M 'P 1'
_symmetry_Int_Tables_number 1
_symmetry_space_group_name_Hall 'P 1'
loop_
_atom_site_label
_atom_site_fract_x
_atom_site_fract_y
_atom_site_fract_z
Sr1 0.2442 0.7558 0.2442
Sr2 0.2500 0.2500 0.2500
Sr3 0.7500 0.7500 0.7500
Sr4 0.7558 0.2442 0.7558
Zn1 0.3338 0.3338 0.6662
Zn2 0.6662 0.6662 0.3338
Si1 0.1659 0.1659 0.8341
Si2 0.1674 0.6666 0.8326
Si3 0.3334 0.8326 0.6666
Si4 0.6666 0.1674 0.3334
Si5 0.8326 0.3334 0.1674
Si6 0.8341 0.8341 0.1659


(2)
# SCAN MnIn2Rh, single point on PBEsol structure
# symmetry	P4mm
# formation enthalpy at 0 K	-0.2061	eV per atom
data_MnIn2Rh
_cell_length_a 3.0535
_cell_length_b 3.0535
_cell_length_c 7.6081
_cell_angle_alpha 90.00
_cell_angle_beta 90.00
_cell_angle_gamma 90.00
_symmetry_space_group_name_H-M 'P 1'
_symmetry_Int_Tables_number 1
_symmetry_space_group_name_Hall 'P 1'
loop_
_atom_site_label
_atom_site_fract_x
_atom_site_fract_y
_atom_site_fract_z
Mn1 0.0000 0.0000 0.0000
In1 0.0000 0.0000 0.4195
In2 0.5000 0.5000 0.7591
Rh1 0.5000 0.5000 0.1910


(3)
# SCAN TaPSe2, single point on PBEsol structure
# symmetry	Pm
# formation energy without anion corrections	-0.060	eV per atom
data_TaPSe2
_cell_length_a 4.2153
_cell_length_b 4.5217
_cell_length_c 4.4633
_cell_angle_alpha 90.00
_cell_angle_beta 111.08
_cell_angle_gamma 90.00
_symmetry_space_group_name_H-M 'P 1'
_symmetry_Int_Tables_number 1
_symmetry_space_group_name_Hall 'P 1'
loop_
_atom_site_label
_atom_site_fract_x
_atom_site_fract_y
_atom_site_fract_z
Ta1 0.0000 0.0000 0.0000
P1 0.9684 0.5000 0.2089
Se1 0.2100 0.5000 0.7613
Se2 0.6239 0.0000 0.3791